Below is a geometry-optimized PuZnCoIr structure, with properties calculated at the GGA-PBE level.

a b c (Å): 6.3949 6.3949 6.3949
angles (deg): 90.00 90.00 90.00
Space group F-43m (No. 216)
Symmetry-distinct sites (fractional):
Pu 0.0000 0.0000 0.0000
Zn 0.0000 0.0000 0.5000
Co 0.2500 0.2500 0.2500
Ir 0.2500 0.2500 0.7500

size of the total moment = 14.1 μB/cell
E_form = -0.173 eV/atom
raw total energy = -8.067 eV/atom